[1]
## SrCd2Sn (PBE)

Data for a relaxed structure of SrCd2Sn.

## Properties
Spin magnetization (μB per cell): 0.0
Calculated total energy (eV/cell): -8.63
ΔE_f (eV/f.u.): -1.1

abc: 4.8676 4.7779 4.7779
angles: 90.00 90.00 90.00
Positions (direct):
Cd (0.0000, 0.5000, 0.0000)
Cd (0.0000, 0.0000, 0.5000)
Sr (0.5000, 0.5000, 0.5000)
Sn (0.5000, 0.0000, 0.0000)

---

[2]
## SrCd2Sn4 (PBE)

Data for a relaxed structure of SrCd2Sn4.

## Properties
Spin magnetization (μB per cell): 0.0
Calculated total energy (eV/cell): -20.38
ΔE_f (eV/f.u.): -0.9

abc: 4.8923 5.0803 8.6846
angles: 107.01 90.00 90.00
Positions (direct):
Sn (0.0000, 0.6915, 0.3830)
Sn (0.0000, 0.3085, 0.6170)
Sr (0.0000, 0.0000, 0.0000)
Sn (0.5000, 0.8190, 0.6379)
Cd (0.5000, 0.4173, 0.8345)
Sn (0.5000, 0.1810, 0.3621)
Cd (0.5000, 0.5827, 0.1655)